A plane-wave DFT calculation with PBE was carried out for CeSnAsN after structural relaxation.

Calculated values
Volume in Å³ per cell: 541
Formation energy (no corrections) in eV per atom: -0.92
Energy in eV per atom: -6.647
ρ in g/cm³: 6.41

a = 3.9794 Å, b = 3.9794 Å, c = 39.4347 Å
α = 90.00°, β = 90.00°, γ = 120.00°
Space group R-3m (No. 166, hexagonal axes)
Asymmetric unit:
Ce 0.0000 0.0000 0.1314 (multiplicity 6)
Sn 0.0000 0.0000 0.2957 (multiplicity 6)
As 0.0000 0.0000 0.4091 (multiplicity 6)
N 0.0000 0.0000 0.1888 (multiplicity 6)